Record 1
The following is a DFT calculation (PBE) of ZrVFe after structural relaxation.

Cell and atoms, written as POSCAR:
```
ZrVFe
1.0
1.880 -4.173 0.000
1.880 4.173 0.000
0.000 0.000 6.023
Zr V Fe
2 2 2
Direct
0.000 0.000 0.000 Zr
0.000 0.000 0.500 Zr
0.307 0.693 0.750 V
0.693 0.307 0.250 V
0.334 0.666 0.250 Fe
0.666 0.334 0.750 Fe
```

- E_form (eV/atom) = 0.097
- excess energy over the best structure of this formula in the dataset (meV per atom) = 299

Record 2
The following is a DFT calculation (PBE) of BeCd2Br after structural relaxation.

Cell and atoms, written as POSCAR:
```
BeCd2Br
1.0
-1.763 3.084 4.340
1.763 -3.084 4.340
1.763 3.084 -4.340
Be Cd Br
1 2 1
Direct
0.000 0.000 0.000 Be
0.209 0.709 0.500 Cd
0.791 0.291 0.500 Cd
0.500 0.500 0.000 Br
```

- formation energy (no corrections) (meV per atom) = 275
- excess energy over the best structure of this formula in the dataset (meV per atom) = 201

Record 3
The following is a DFT calculation (PBE) of Pm6Tl5Ag after structural relaxation.

Cell and atoms, written as POSCAR:
```
Pm6Tl5Ag
1.0
3.331 -5.837 0.000
3.331 5.837 0.000
-2.369 0.000 9.554
Pm Tl Ag
6 5 1
Direct
0.067 0.395 0.235 Pm
0.233 0.233 0.733 Pm
0.395 0.067 0.235 Pm
0.605 0.933 0.765 Pm
0.767 0.767 0.267 Pm
0.933 0.605 0.765 Pm
0.188 0.812 0.500 Tl
0.357 0.643 0.000 Tl
0.500 0.500 0.500 Tl
0.643 0.357 0.000 Tl
0.812 0.188 0.500 Tl
0.000 0.000 0.000 Ag
```

- E_form (eV/atom) = -0.225
- excess energy over the best structure of this formula in the dataset (meV per atom) = 134

Record 4
The following is a DFT calculation (PBE) of Ho2SnHg4 after structural relaxation.

Cell and atoms, written as POSCAR:
```
Ho2SnHg4
1.0
4.470 -2.566 0.000
4.470 2.566 0.000
-2.933 0.000 7.640
Ho Sn Hg
2 1 4
Direct
0.221 0.221 0.163 Ho
0.779 0.779 0.837 Ho
0.500 0.500 0.000 Sn
0.073 0.073 0.718 Hg
0.359 0.359 0.578 Hg
0.641 0.641 0.422 Hg
0.927 0.927 0.282 Hg
```

- E_form (eV/atom) = -0.341

Record 5
The following is a DFT calculation (PBE) of SiBiAu4 after structural relaxation.

Cell and atoms, written as POSCAR:
```
SiBiAu4
1.0
6.584 -3.095 0.000
6.584 3.095 0.000
-0.016 0.000 6.192
Si Bi Au
2 2 8
Direct
0.037 0.037 0.220 Si
0.963 0.963 0.780 Si
0.300 0.300 0.684 Bi
0.700 0.700 0.316 Bi
0.164 0.630 0.095 Au
0.224 0.224 0.219 Au
0.278 0.722 0.500 Au
0.370 0.836 0.905 Au
0.630 0.164 0.095 Au
0.722 0.278 0.500 Au
0.776 0.776 0.781 Au
0.836 0.370 0.905 Au
```

- formation energy (no corrections) (meV per atom) = 34
- excess energy over the best structure of this formula in the dataset (meV per atom) = 6

Record 6
The following is a DFT calculation (PBE) of TaCdMo4 after structural relaxation.

Cell and atoms, written as POSCAR:
```
TaCdMo4
1.0
0.000 3.739 3.739
3.739 0.000 3.739
3.739 3.739 0.000
Ta Cd Mo
1 1 4
Direct
0.000 0.000 0.000 Ta
0.750 0.750 0.750 Cd
0.376 0.376 0.376 Mo
0.376 0.376 0.873 Mo
0.376 0.873 0.376 Mo
0.873 0.376 0.376 Mo
```

- E_form (eV/atom) = 0.247